Compound: Y2Ga5Rh3
Source: Alexandria via LeMat-Bulk
Functional: GGA-PBE
Structure: optimized geometry

Unit cell a=5.6724 b=8.5935 c=8.5935 alpha=70.26 beta=70.73 gamma=70.73
Last column: nearest neighbours and their distance in Å.
Fractional positions:
Y  0.6415  0.1321  0.5849  9 Ga 3.07-3.33, 4 Rh 3.10-3.26
Y  0.8585  0.4151  0.8679  9 Ga 3.07-3.33, 4 Rh 3.10-3.26
Rh  0.3497  0.5639  0.7367  5 Ga 2.46-2.55
Ga  0.9132  0.9081  0.2655  3 Rh 2.46-2.53, 2 Ga 2.71
Ga  0.4132  0.2655  0.9081  3 Rh 2.46-2.53, 2 Ga 2.71
Rh  0.1503  0.2633  0.4361  5 Ga 2.46-2.55
Y  0.3585  0.8679  0.4151  9 Ga 3.07-3.33, 4 Rh 3.10-3.26
Ga  0.0481  0.2019  0.2019  3 Rh 2.52-2.60, 2 Ga 2.71
Rh  0.2500  0.0000  0.0000  6 Ga 2.53-2.60
Rh  0.6503  0.4361  0.2633  5 Ga 2.46-2.55
Rh  0.7500  0.0000  0.0000  6 Ga 2.53-2.60
Ga  0.2500  0.5000  0.5000  4 Rh 2.55, 2 Ga 2.84
Ga  0.9519  0.7981  0.7981  3 Rh 2.52-2.60, 2 Ga 2.71
Ga  0.5481  0.2019  0.2019  3 Rh 2.52-2.60, 2 Ga 2.71
Ga  0.0868  0.0919  0.7345  3 Rh 2.46-2.53, 2 Ga 2.71
Y  0.1415  0.5849  0.1321  9 Ga 3.07-3.33, 4 Rh 3.10-3.26
Ga  0.7500  0.5000  0.5000  4 Rh 2.55, 2 Ga 2.84
Rh  0.8497  0.7367  0.5639  5 Ga 2.46-2.55
Ga  0.4519  0.7981  0.7981  3 Rh 2.52-2.60, 2 Ga 2.71
Ga  0.5868  0.7345  0.0919  3 Rh 2.46-2.53, 2 Ga 2.71

Output
For the total energy, the calculation gives -5.82 eV/atom. The calculation puts the density at 7.69 Mg/m³. For the density of states at the Fermi level, the calculation gives 8.18 states/eV per cell. As for the formation energy: -0.813 eV/atom. Its space group is Ibam.